1.
{"formula": "Li2PrDyTl4", "functional": "GGA-PBE", "state": "relaxed", "final_energy_ev_per_atom": -3.16, "n_ef_per_ev_fu": 1.7, "formation_energy_mev_per_atom": -326, "lattice_angstrom": [[-0.494, -0.632, 5.185], [3.787, -2.404, 2.722], [4.965, 6.540, 3.925]], "species": ["Li", "Tl", "Tl", "Pr", "Li", "Tl", "Dy", "Tl"], "fractional_positions": [[0.249, 0.249, 0.253], [0.873, 0.873, 0.382], [0.622, 0.622, 0.133], [0.000, 0.000, 0.000], [0.751, 0.751, 0.747], [0.378, 0.378, 0.867], [0.500, 0.500, 0.500], [0.127, 0.127, 0.618]]}

2.
{"formula": "LiPrDyY", "functional": "GGA-PBE", "state": "relaxed", "final_energy_ev_per_atom": -4.27, "n_ef_per_ev_fu": 3.9, "formation_energy_mev_per_atom": 168, "lattice_angstrom": [[5.565, 0.000, 0.000], [2.782, 4.819, 0.000], [2.782, 1.606, 4.544]], "species": ["Li", "Pr", "Dy", "Y"], "fractional_positions": [[0.750, 0.750, 0.750], [0.500, 0.500, 0.500], [0.250, 0.250, 0.250], [0.000, 0.000, 0.000]]}

3.
{"formula": "LiDy3Pt3", "functional": "GGA-PBE", "state": "relaxed", "final_energy_ev_per_atom": -5.75, "n_ef_per_ev_fu": 2.7, "formation_energy_mev_per_atom": -916, "lattice_angstrom": [[-2.655, 6.082, -1.487], [-5.898, -2.938, -1.685], [-2.124, 0.625, 6.348]], "species": ["Dy", "Dy", "Dy", "Dy", "Pt", "Dy", "Pt", "Li", "Pt", "Li", "Pt", "Pt", "Pt", "Dy"], "fractional_positions": [[0.740, 0.260, 0.000], [0.251, 0.251, 0.500], [0.260, 0.740, 0.000], [0.759, 0.241, 0.500], [0.000, 0.000, 0.758], [0.749, 0.749, 0.500], [0.000, 0.500, 0.245], [0.228, 0.228, 0.000], [0.500, 0.000, 0.245], [0.772, 0.772, 0.000], [0.000, 0.000, 0.242], [0.000, 0.500, 0.755], [0.500, 0.000, 0.755], [0.241, 0.759, 0.500]]}

4.
{"formula": "Li2DyPt", "functional": "GGA-PBE", "state": "relaxed", "polymorph_energy_mev_per_atom": 96, "final_energy_ev_per_atom": -4.02, "n_ef_per_ev_fu": 4.2, "formation_energy_mev_per_atom": -398, "lattice_angstrom": [[4.564, 0.000, 0.000], [2.282, 3.953, 0.000], [2.282, 1.318, 3.736]], "species": ["Li", "Dy", "Li", "Pt"], "fractional_positions": [[0.250, 0.250, 0.251], [0.000, 0.000, 0.000], [0.750, 0.750, 0.749], [0.500, 0.500, 0.500]]}

5.
{"formula": "LiDyPt", "functional": "GGA-PBE", "state": "relaxed", "polymorph_energy_mev_per_atom": 162, "final_energy_ev_per_atom": -4.91, "n_ef_per_ev_fu": 1.7, "formation_energy_mev_per_atom": -726, "lattice_angstrom": [[3.635, 0.000, 0.000], [0.000, 3.635, 0.000], [-1.817, -1.817, 4.453]], "species": ["Li", "Pt", "Dy"], "fractional_positions": [[0.630, 0.630, 0.259], [0.284, 0.284, 0.568], [0.936, 0.936, 0.873]]}

6.
{"formula": "Li3DyPt3", "functional": "GGA-PBE", "state": "relaxed", "final_energy_ev_per_atom": -4.06, "n_ef_per_ev_fu": 3.1, "formation_energy_mev_per_atom": 5, "lattice_angstrom": [[-1.965, -4.240, 4.312], [5.420, -3.247, -0.723], [2.684, 3.452, 4.617]], "species": ["Pt", "Li", "Dy", "Li", "Li", "Pt", "Li", "Pt", "Pt", "Pt", "Li", "Li", "Dy", "Pt"], "fractional_positions": [[0.250, 0.000, 0.500], [0.000, 0.750, 0.500], [0.500, 0.500, 0.500], [0.500, 0.000, 0.250], [0.000, 0.250, 0.500], [0.500, 0.250, 0.000], [0.750, 0.500, 0.000], [0.000, 0.500, 0.250], [0.000, 0.500, 0.750], [0.750, 0.000, 0.500], [0.250, 0.500, 0.000], [0.500, 0.000, 0.750], [0.000, 0.000, 0.000], [0.500, 0.750, 0.000]]}